# ReNiP2O GGA+U optimized geometry
# DOS at the Fermi energy	0.257	states/eV/atom
# VASP energy	-5.96	eV/atom
# calculated volume	16.69	Å³/atom
data_ReNiP2O
_chemical_formula_sum 'Re1 Ni1 P2 O1'
_cell_length_a 4.7474
_cell_length_b 4.7474
_cell_length_c 3.7031
_cell_angle_alpha 90.00
_cell_angle_beta 90.00
_cell_angle_gamma 90.00
_space_group_name_H-M_alt 'P 4/m m m'
_space_group_IT_number 123
_space_group_name_Hall '-P 4 2'
loop_
_atom_site_label
_atom_site_fract_x
_atom_site_fract_y
_atom_site_fract_z
Re1 0.0000 0.0000 0.0000
Ni1 0.5000 0.5000 0.5000
P1 0.0000 0.5000 0.0000
O1 0.0000 0.0000 0.5000

---

# ReNiP2O GGA+U optimized geometry
# DOS at the Fermi energy	0.805	states/eV/atom
# VASP energy	-5.34	eV/atom
# calculated volume	13.45	Å³/atom
data_ReNiP2O
_chemical_formula_sum 'Re1 Ni1 P2 O1'
_cell_length_a 4.4862
_cell_length_b 4.4862
_cell_length_c 3.3415
_cell_angle_alpha 90.00
_cell_angle_beta 90.00
_cell_angle_gamma 90.00
_space_group_name_H-M_alt 'P 4/m m m'
_space_group_IT_number 123
_space_group_name_Hall '-P 4 2'
loop_
_atom_site_label
_atom_site_fract_x
_atom_site_fract_y
_atom_site_fract_z
Re1 0.0000 0.0000 0.0000
Ni1 0.5000 0.5000 0.5000
P1 0.0000 0.5000 0.5000
O1 0.5000 0.5000 0.0000

---

# NiP2RhO GGA+U optimized geometry
# DOS at the Fermi energy	0.582	states/eV/atom
# VASP energy	-4.65	eV/atom
# calculated volume	13.57	Å³/atom
data_NiP2RhO
_chemical_formula_sum 'Ni1 P2 Rh1 O1'
_cell_length_a 4.4721
_cell_length_b 4.4721
_cell_length_c 3.3935
_cell_angle_alpha 90.00
_cell_angle_beta 90.00
_cell_angle_gamma 90.00
_space_group_name_H-M_alt 'P 4/m m m'
_space_group_IT_number 123
_space_group_name_Hall '-P 4 2'
loop_
_atom_site_label
_atom_site_fract_x
_atom_site_fract_y
_atom_site_fract_z
Ni1 0.0000 0.0000 0.0000
P1 0.0000 0.5000 0.0000
Rh1 0.5000 0.5000 0.5000
O1 0.0000 0.0000 0.5000

---

# Ni2PRhO6 GGA+U optimized geometry
# DOS at the Fermi energy	0.111	states/eV/atom
# VASP energy	-5.57	eV/atom
# calculated volume	11.94	Å³/atom
data_Ni2PRhO6
_chemical_formula_sum 'Ni2 P1 Rh1 O6'
_cell_length_a 5.4284
_cell_length_b 5.4284
_cell_length_c 4.0530
_cell_angle_alpha 90.00
_cell_angle_beta 90.00
_cell_angle_gamma 90.00
_space_group_name_H-M_alt 'P 4 m m'
_space_group_IT_number 99
_space_group_name_Hall 'P 4 -2'
loop_
_atom_site_label
_atom_site_fract_x
_atom_site_fract_y
_atom_site_fract_z
Ni1 0.0000 0.5000 0.0000
P1 0.0000 0.0000 0.7435
Rh1 0.5000 0.5000 0.7572
O1 0.0000 0.0000 0.3745
O2 0.2165 0.2165 0.8670
O3 0.5000 0.5000 0.2707